Computed, not measured: a relaxed AgTeOs3 crystal at the PBE-GGA level of DFT.

Results
- Relative energy among the computed polymorphs: 0 meV/atom
- Formation energy from raw total energies: 2.4164 eV per atom
- D(E_F): 4.9 states/eV per cell
- Density: 11948 kg/m3
- Magnetic moment: 0.537 μB per atom

abc: 4.8209 4.8209 4.8209
angles: 90.00 90.00 90.00
Closest atoms and distances in Å follow each position.
Space group Pm-3m (No. 221)
Unique sites:
Ag 0.0000 0.0000 0.0000  12 Os 3.41
Te 0.5000 0.5000 0.5000  6 Os 2.41
Os 0.0000 0.5000 0.5000  2 Te 2.41

---

Computed, not measured: a relaxed Ag2TeOs crystal at the PBE-GGA level of DFT.

Results
- Formation energy from raw total energies: 0.6446 eV per atom
- D(E_F): 5.9 states/eV per cell
- Density: 11543 kg/m3
- Magnetic moment: 0.128 μB per atom

abc: 4.5348 2.9697 11.3993
angles: 90.00 90.00 90.00
Closest atoms and distances in Å follow each position.
Space group Amm2 (No. 38)
Unique sites:
Ag 0.0000 0.0000 0.0000  6 Ag 2.97-3.05, 3 Te 3.02-3.07, 4 Os 3.06
Ag 0.5000 0.0000 0.3780  1 Os 2.81, 6 Ag 2.97-3.05
Te 0.0000 0.0000 0.7353  2 Os 2.60
Os 0.5000 0.0000 0.6244  2 Te 2.60, 1 Ag 2.81

---

Computed, not measured: a relaxed Ag2TeOs crystal at the PBE-GGA level of DFT.

Results
- Formation energy from raw total energies: 0.7726 eV per atom
- D(E_F): 5.8 states/eV per cell
- Density: 11260 kg/m3
- Magnetic moment: 0.234 μB per atom

abc: 2.8883 5.2299 10.4180
angles: 90.00 90.00 90.00
Closest atoms and distances in Å follow each position.
Space group Cmmm (No. 65)
Unique sites:
Ag 0.0000 0.0000 0.2286  2 Os 2.79, 6 Ag 2.89-2.99
Te 0.0000 0.5000 0.5000  6 Te 2.89-2.99, 4 Ag 3.17
Os 0.0000 0.5000 0.0000  4 Ag 2.79, 6 Os 2.89-2.99

---

Computed, not measured: a relaxed Ag2TeOs crystal at the PBE-GGA level of DFT.

Results
- Formation energy from raw total energies: 0.6607 eV per atom
- D(E_F): 4.2 states/eV per cell
- Density: 11217 kg/m3
- Magnetic moment: 0.000 μB per atom

abc: 3.0577 5.1011 10.1279
angles: 90.00 90.00 90.00
Closest atoms and distances in Å follow each position.
Space group Cmm2 (No. 35)
Unique sites:
Ag 0.0000 0.0000 0.0000  8 Ag 2.85-3.06
Ag 0.0000 0.5000 0.2375  2 Os 2.82, 8 Ag 2.85-3.06
Te 0.0000 0.5000 0.6860  2 Os 2.66, 4 Te 2.97
Os 0.0000 0.0000 0.4710  2 Te 2.66, 2 Ag 2.82, 4 Os 2.97

---

Computed, not measured: a relaxed Ag2TeOs crystal at the PBE-GGA level of DFT.

Results
- Formation energy from raw total energies: 0.8304 eV per atom
- D(E_F): 3.8 states/eV per cell
- Density: 11543 kg/m3
- Magnetic moment: 0.169 μB per atom

abc: 3.7592 3.7592 5.4317
angles: 90.00 90.00 90.00
Closest atoms and distances in Å follow each position.
Space group P4/mmm (No. 123)
Unique sites:
Ag 0.0000 0.0000 0.2404  2 Ag 2.61-2.82
Te 0.5000 0.5000 0.5000  2 Os 2.72, 8 Ag 3.01
Os 0.5000 0.5000 0.0000  2 Te 2.72, 8 Ag 2.96

---

Computed, not measured: a relaxed Ag2TeOs crystal at the PBE-GGA level of DFT.

Results
- Formation energy from raw total energies: 0.7032 eV per atom
- D(E_F): 5.1 states/eV per cell
- Density: 12160 kg/m3
- Magnetic moment: 0.000 μB per atom

abc: 4.2640 4.2640 8.0149
angles: 90.00 90.00 90.00
Closest atoms and distances in Å follow each position.
Space group I-4m2 (No. 119)
Unique sites:
Ag 0.0000 0.0000 0.0000  4 Os 2.93, 4 Ag 2.93, 4 Te 3.02
Ag 0.0000 0.5000 0.2500  4 Te 2.93, 4 Ag 2.93, 4 Os 3.02
Te 0.0000 0.0000 0.5000  4 Os 2.93, 8 Ag 2.93-3.02
Os 0.0000 0.5000 0.7500  8 Ag 2.93-3.02, 4 Te 2.93

---

Computed, not measured: a relaxed AgTe3Os crystal at the PBE-GGA level of DFT.

Results
- Relative energy among the computed polymorphs: 0 meV/atom
- Formation energy from raw total energies: 0.8063 eV per atom
- D(E_F): 6.2 states/eV per cell
- Density: 7729 kg/m3
- Magnetic moment: 0.000 μB per atom

abc: 5.2692 5.2692 5.2692
angles: 90.00 90.00 90.00
Closest atoms and distances in Å follow each position.
Space group Pm-3m (No. 221)
Unique sites:
Ag 0.0000 0.0000 0.0000  12 Te 3.73
Te 0.0000 0.5000 0.5000  2 Os 2.63
Os 0.5000 0.5000 0.5000  6 Te 2.63

---

Computed, not measured: a relaxed AgTe3Os crystal at the PBE-GGA level of DFT.

Results
- Relative energy among the computed polymorphs: 928 meV/atom
- Formation energy from raw total energies: 1.7340 eV per atom
- D(E_F): 5.0 states/eV per cell
- Density: 7928 kg/m3
- Magnetic moment: 0.000 μB per atom

abc: 5.2246 5.2246 5.2246
angles: 90.00 90.00 90.00
Closest atoms and distances in Å follow each position.
Space group Pm-3m (No. 221)
Unique sites:
Ag 0.0000 0.0000 0.0000  6 Te 2.61
Te 0.0000 0.0000 0.5000  2 Ag 2.61
Os 0.5000 0.5000 0.5000  12 Te 3.69

---

Computed, not measured: a relaxed TiAg2TeOs crystal at the PBE-GGA level of DFT.

Results
- Formation energy from raw total energies: 1.5767 eV per atom
- D(E_F): 4.9 states/eV per cell
- Density: 7438 kg/m3
- Magnetic moment: 0.200 μB per atom

abc: 5.0250 5.0250 5.1404
angles: 90.00 90.00 90.00
Closest atoms and distances in Å follow each position.
Space group P4/mmm (No. 123)
Unique sites:
Ti 0.0000 0.0000 0.0000  2 Te 2.57
Ag 0.0000 0.5000 0.5000  2 Te 2.51
Te 0.0000 0.0000 0.5000  4 Ag 2.51, 2 Ti 2.57
Os 0.5000 0.5000 0.0000  4 Ti 3.55, 8 Ag 3.59

---

Computed, not measured: a relaxed VAgTe2Os crystal at the PBE-GGA level of DFT.

Results
- Formation energy from raw total energies: 1.9794 eV per atom
- D(E_F): 10.1 states/eV per cell
- Density: 7547 kg/m3
- Magnetic moment: 0.005 μB per atom

abc: 5.2069 5.2069 4.9039
angles: 90.00 90.00 90.00
Closest atoms and distances in Å follow each position.
Space group P4/mmm (No. 123)
Unique sites:
V 0.0000 0.0000 0.0000  8 Te 3.58, 4 Os 3.68
Ag 0.5000 0.5000 0.5000  2 Os 2.45, 4 Te 2.60
Te 0.0000 0.5000 0.5000  2 Ag 2.60
Os 0.5000 0.5000 0.0000  2 Ag 2.45

---

Computed, not measured: a relaxed Th2AgOs crystal at the PBE-GGA level of DFT.

Results
- D(E_F): 9.5 states/eV per cell
- Density: 11318 kg/m3
- Magnetic moment: 0.000 μB per atom
- E_form: -0.2172 eV/atom

abc: 4.2117 4.2117 21.8373
angles: 90.00 90.00 120.00
Closest atoms and distances in Å follow each position.
Space group R3m (No. 160, hexagonal axes)
Unique sites:
Th 0.0000 0.0000 0.0000  3 Os 2.86
Th 0.0000 0.0000 0.1972  3 Os 2.84
Ag 0.0000 0.0000 0.4330  6 Th 3.23-3.26, 1 Os 3.59
Os 0.0000 0.0000 0.5974  6 Th 2.84-2.86

---

Computed, not measured: a relaxed Th2AgOs crystal at the PBE-GGA level of DFT.

Results
- D(E_F): 7.1 states/eV per cell
- Density: 9235 kg/m3
- Magnetic moment: 0.000 μB per atom
- E_form: 0.1278 eV/atom

abc: 4.1531 4.1531 27.5240
angles: 90.00 90.00 120.00
Closest atoms and distances in Å follow each position.
Space group R-3m (No. 166, hexagonal axes)
Unique sites:
Th 0.0000 0.0000 0.1131  3 Os 2.82, 1 Ag 3.11
Ag 0.0000 0.0000 0.0000  2 Th 3.11
Os 0.0000 0.0000 0.5000  6 Th 2.82

---

Computed, not measured: a relaxed Th2AgOs crystal at the PBE-GGA level of DFT.

Results
- D(E_F): 4.3 states/eV per cell
- Density: 12842 kg/m3
- Magnetic moment: 0.000 μB per atom
- E_form: -0.1430 eV/atom

abc: 3.5180 3.5180 7.9633
angles: 90.00 90.00 90.00
Closest atoms and distances in Å follow each position.
Space group P4/mmm (No. 123)
Unique sites:
Th 0.0000 0.0000 0.2215  4 Os 3.05, 4 Ag 3.33
Ag 0.5000 0.5000 0.5000  8 Th 3.33, 4 Ag 3.52
Os 0.5000 0.5000 0.0000  8 Th 3.05

---

Computed, not measured: a relaxed Th2AgOs crystal at the PBE-GGA level of DFT.

Results
- D(E_F): 3.2 states/eV per cell
- Density: 11401 kg/m3
- Magnetic moment: 0.000 μB per atom
- E_form: -0.1815 eV/atom

abc: 4.3237 4.3237 6.8567
angles: 90.00 90.00 120.00
Closest atoms and distances in Å follow each position.
Space group P-3m1 (No. 164)
Unique sites:
Th 0.3333 0.6667 0.2911  3 Os 2.88, 3 Ag 3.20
Ag 0.0000 0.0000 0.0000  6 Th 3.20, 2 Os 3.43
Os 0.0000 0.0000 0.5000  6 Th 2.88

---

Computed, not measured: a relaxed Th3AgOs crystal at the PBE-GGA level of DFT.

Results
- D(E_F): 21.9 states/eV per cell
- Density: 11281 kg/m3
- Magnetic moment: 0.000 μB per atom
- E_form: -0.0971 eV/atom

abc: 9.3080 6.8957 10.0551
angles: 90.00 114.90 90.00
Closest atoms and distances in Å follow each position.
Space group P2_1/c (No. 14)
Unique sites:
Th 0.1067 0.0705 0.3695  3 Os 2.78-2.84
Th 0.2129 0.5769 0.5544  2 Os 2.79-2.89
Th 0.3913 0.0840 0.7735  1 Os 2.80
Ag 0.4324 0.6779 0.9291  1 Ag 2.85, 2 Th 3.15-3.18
Os 0.0877 0.2407 0.6187  6 Th 2.78-2.89